No. 1
Zr2CrIn | GGA-PBE | optimized geometry

a = 6.0905 Å, b = 6.0905 Å, c = 6.0905 Å
α = 102.77°, β = 102.77°, γ = 123.92°
Last column: nearest neighbours and their distance in Å.
Sites, in units of the cell vectors:
Zr (0.0829, 0.1250, 0.4579)  2 Cr 2.57
Zr (0.3750, 0.9171, 0.0421)  2 Cr 2.57
Zr (0.6671, 0.6250, 0.5421)  2 Cr 2.57
Zr (0.8750, 0.3329, 0.9579)  2 Cr 2.57
Cr (0.0000, 0.0000, 0.0000)  4 Zr 2.57, 2 In 2.86
Cr (0.7500, 0.2500, 0.5000)  4 Zr 2.57, 2 In 2.86
In (0.2500, 0.7500, 0.5000)  2 Cr 2.86, 4 Zr 3.01
In (0.5000, 0.5000, 0.0000)  2 Cr 2.86, 4 Zr 3.01

Computed properties:
Calculated volume   165.47 Å³/cell
Calculated formation energy   0.45 eV per atom



No. 2
ZrCr2In | GGA-PBE | optimized geometry

a = 6.0091 Å, b = 6.0091 Å, c = 6.0091 Å
α = 104.03°, β = 104.03°, γ = 121.00°
Last column: nearest neighbours and their distance in Å.
Sites, in units of the cell vectors:
Zr (0.0000, 0.0000, 0.0000)  4 Cr 2.71, 2 In 2.96
Zr (0.7500, 0.2500, 0.5000)  4 Cr 2.71, 2 In 2.96
Cr (0.1236, 0.6250, 0.9986)  2 Zr 2.71, 2 In 2.72, 2 Cr 2.96
Cr (0.3750, 0.3736, 0.4986)  2 Zr 2.71, 2 In 2.72, 2 Cr 2.96
Cr (0.6264, 0.1250, 0.0014)  2 Zr 2.71, 2 In 2.72, 2 Cr 2.96
Cr (0.8750, 0.8764, 0.5014)  2 Zr 2.71, 2 In 2.72, 2 Cr 2.96
In (0.2500, 0.7500, 0.5000)  4 Cr 2.72, 2 Zr 2.96
In (0.5000, 0.5000, 0.0000)  4 Cr 2.72, 2 Zr 2.96

Computed properties:
Calculated volume   161.88 Å³/cell
Calculated formation energy   0.77 eV per atom



No. 3
ZrCrIn2 | GGA-PBE | optimized geometry

a = 9.8487 Å, b = 9.8487 Å, c = 9.8487 Å
α = 18.94°, β = 18.94°, γ = 18.94°
Last column: nearest neighbours and their distance in Å.
Sites, in units of the cell vectors:
Zr (0.0000, 0.0000, 0.0000)  3 Cr 2.84
Cr (0.7401, 0.7401, 0.7401)  3 Zr 2.84, 3 In 2.96
In (0.2444, 0.2444, 0.2444)  3 Zr 3.19, 9 In 3.24-3.25
In (0.4860, 0.4860, 0.4860)  3 Cr 2.96, 9 In 3.24-3.25

Computed properties:
Calculated volume   87.99 Å³/cell
Calculated formation energy   0.26 eV per atom



No. 4
ZrCrIn2 | GGA-PBE | optimized geometry

a = 3.1668 Å, b = 4.9539 Å, c = 5.3566 Å
α = 90.00°, β = 90.00°, γ = 90.00°
Last column: nearest neighbours and their distance in Å.
Sites, in units of the cell vectors:
Zr (0.0000, 0.0000, 0.0000)  2 Cr 3.02, 8 In 3.06-3.16, 2 Zr 3.17
Cr (0.0000, 0.5000, 0.6763)  8 In 3.02-3.20, 2 Zr 3.02, 2 Cr 3.17
In (0.5000, 0.0000, 0.5115)  4 Zr 3.06-3.16, 4 Cr 3.07, 4 In 3.12-3.17
In (0.5000, 0.5000, 0.1570)  4 Cr 3.02-3.20, 4 Zr 3.06, 4 In 3.12-3.17

Computed properties:
Calculated volume   84.03 Å³/cell
Calculated formation energy   0.13 eV per atom



- What is the formula in the fourth record?
  ZrCrIn2



- Number 3 is which compound?
  ZrCrIn2